Compound: TiV2W2
Source: Alexandria via LeMat-Bulk
Functional: PBE
Structure: optimized geometry

Summary:
* DOS(E_F): 1.04 states/eV/atom
* energy relative to the elements: 0.295 eV/atom
* SG: No. 36
* magnetization: 0.0 Bohr magnetons per cell

Lattice parameters (Å, degrees): 3.121 5.227 10.233 90.00 90.00 107.37
Atoms (fractional coordinates):
V1 0.266 0.531 0.207
V2 0.734 0.469 0.707
V3 0.022 0.044 0.807
V4 0.978 0.956 0.307
Ti1 0.636 0.273 0.004
Ti2 0.364 0.727 0.504
W1 0.673 0.346 0.391
W2 0.073 0.145 0.576
W3 0.927 0.855 0.076
W4 0.327 0.654 0.891